a | The following is a GGA-PBE calculation of crystalline SiSbP2 at its relaxed geometry, from Alexandria via LeMat-Bulk.

## Properties
The calculation puts the density at 4.8 g/cm3. The calculation puts the total magnetization at 0.00 μB/atom.

```
data_SiSbP2
_space_group_name_H-M_alt 'R -3 m'
_space_group_IT_number 166
_space_group_name_Hall '-R 3 2"'
_cell_length_a 3.6799
_cell_length_b 3.6799
_cell_length_c 18.8257
_cell_angle_alpha 90.00
_cell_angle_beta 90.00
_cell_angle_gamma 120.00
loop_
_atom_site_label
_atom_site_type_symbol
_atom_site_fract_x
_atom_site_fract_y
_atom_site_fract_z
_atom_site_occupancy
Si1 Si 0.0000 0.0000 0.0000 1
Sb1 Sb 0.0000 0.0000 0.5000 1
P1 P 0.0000 0.0000 0.2636 1
```

b | The following is a GGA-PBE calculation of crystalline SiSbP2 at its relaxed geometry, from Alexandria via LeMat-Bulk.

## Properties
The calculation puts the density at 4.5 g/cm3. The calculation puts the total magnetization at 0.00 μB/atom.

```
data_SiSbP2
_space_group_name_H-M_alt 'P 4/m m m'
_space_group_IT_number 123
_space_group_name_Hall '-P 4 2'
_cell_length_a 3.127
_cell_length_b 3.127
_cell_length_c 7.946
_cell_angle_alpha 90.00
_cell_angle_beta 90.00
_cell_angle_gamma 90.00
loop_
_atom_site_label
_atom_site_type_symbol
_atom_site_fract_x
_atom_site_fract_y
_atom_site_fract_z
_atom_site_occupancy
Si1 Si 0.000 0.000 0.000 1
Sb1 Sb 0.000 0.000 0.500 1
P1 P 0.500 0.500 0.152 1
```

c | The following is a GGA-PBE calculation of crystalline SiSbP2 at its relaxed geometry, from Alexandria via LeMat-Bulk.

## Properties
The calculation puts the density at 4.1 g/cm3. The calculation puts the total magnetization at 0.00 μB/atom.

```
data_SiSbP2
_space_group_name_H-M_alt 'P 1 m 1'
_space_group_IT_number 6
_cell_length_a 4.798
_cell_length_b 3.647
_cell_length_c 5.246
_cell_angle_alpha 90.00
_cell_angle_beta 110.38
_cell_angle_gamma 90.00
loop_
_space_group_symop_operation_xyz
'x,y,z'
'x,-y,z'
loop_
_atom_site_label
_atom_site_type_symbol
_atom_site_fract_x
_atom_site_fract_y
_atom_site_fract_z
_atom_site_occupancy
Si1 Si 0.000 0.000 0.000 1
Sb1 Sb 0.756 0.500 0.357 1
P1 P 0.262 0.500 0.932 1
P2 P 0.574 0.000 0.617 1
```

d | The following is a GGA-PBE calculation of crystalline SiSbP2 at its relaxed geometry, from Alexandria via LeMat-Bulk.

## Properties
The calculation puts the density at 4.0 g/cm3. The calculation puts the total magnetization at 0.00 μB/atom.

```
data_SiSbP2
_space_group_name_H-M_alt 'C 1 2/m 1'
_space_group_IT_number 12
_cell_length_a 10.386
_cell_length_b 3.326
_cell_length_c 5.251
_cell_angle_alpha 90.00
_cell_angle_beta 102.87
_cell_angle_gamma 90.00
loop_
_space_group_symop_operation_xyz
'x,y,z'
'-x,-y,-z'
'-x,y,-z'
'x,-y,z'
'x+1/2,y+1/2,z'
'-x+1/2,-y+1/2,-z'
'-x+1/2,y+1/2,-z'
'x+1/2,-y+1/2,z'
loop_
_atom_site_label
_atom_site_type_symbol
_atom_site_fract_x
_atom_site_fract_y
_atom_site_fract_z
_atom_site_occupancy
Si1 Si 0.000 0.000 0.000 1
Sb1 Sb 0.000 0.500 0.500 1
P1 P 0.164 0.500 0.015 1
```

Verdict on stability: b comes out at the bottom.

a | The following is a GGA-PBE calculation of crystalline SiSbP2 at its relaxed geometry, from Alexandria via LeMat-Bulk.

## Properties
The calculation puts the density at 4.6 g/cm3. The calculation puts the total magnetization at 0.00 μB/atom.

```
data_SiSbP2
_space_group_name_H-M_alt 'C m m m'
_space_group_IT_number 65
_space_group_name_Hall '-C 2 2'
_cell_length_a 3.477
_cell_length_b 5.545
_cell_length_c 7.871
_cell_angle_alpha 90.00
_cell_angle_beta 90.00
_cell_angle_gamma 90.00
loop_
_atom_site_label
_atom_site_type_symbol
_atom_site_fract_x
_atom_site_fract_y
_atom_site_fract_z
_atom_site_occupancy
Si1 Si 0.000 0.000 0.000 1
Sb1 Sb 0.000 0.000 0.500 1
P1 P 0.000 0.500 0.198 1
```

b | The following is a GGA-PBE calculation of crystalline SiSbP2 at its relaxed geometry, from Alexandria via LeMat-Bulk.

## Properties
The calculation puts the density at 4.3 g/cm3. The calculation puts the total magnetization at 0.00 μB/atom.

```
data_SiSbP2
_space_group_name_H-M_alt 'C 1 m 1'
_space_group_IT_number 8
_cell_length_a 9.438
_cell_length_b 3.209
_cell_length_c 5.937
_cell_angle_alpha 90.00
_cell_angle_beta 113.25
_cell_angle_gamma 90.00
loop_
_space_group_symop_operation_xyz
'x,y,z'
'x,-y,z'
'x+1/2,y+1/2,z'
'x+1/2,-y+1/2,z'
loop_
_atom_site_label
_atom_site_type_symbol
_atom_site_fract_x
_atom_site_fract_y
_atom_site_fract_z
_atom_site_occupancy
Si1 Si 0.000 0.000 0.000 1
Sb1 Sb 0.260 0.000 0.406 1
P1 P 0.100 0.500 0.797 1
P2 P 0.309 0.000 0.999 1
```

c | The following is a GGA-PBE calculation of crystalline SiSbP2 at its relaxed geometry, from Alexandria via LeMat-Bulk.

## Properties
The calculation puts the density at 4.6 g/cm3. The calculation puts the total magnetization at 0.00 μB/atom.

```
data_SiSbP2
_space_group_name_H-M_alt 'I 4/m m m'
_space_group_IT_number 139
_space_group_name_Hall '-I 4 2'
_cell_length_a 5.307
_cell_length_b 5.307
_cell_length_c 5.383
_cell_angle_alpha 90.00
_cell_angle_beta 90.00
_cell_angle_gamma 90.00
loop_
_atom_site_label
_atom_site_type_symbol
_atom_site_fract_x
_atom_site_fract_y
_atom_site_fract_z
_atom_site_occupancy
Si1 Si 0.000 0.000 0.000 1
Sb1 Sb 0.000 0.000 0.500 1
P1 P 0.000 0.500 0.000 1
```

d | The following is a GGA-PBE calculation of crystalline SiSbP2 at its relaxed geometry, from Alexandria via LeMat-Bulk.

## Properties
The calculation puts the density at 4.6 g/cm3. The calculation puts the total magnetization at 0.00 μB/atom.

```
data_SiSbP2
_space_group_name_H-M_alt 'P 1 2/m 1'
_space_group_IT_number 10
_cell_length_a 3.793
_cell_length_b 3.744
_cell_length_c 5.369
_cell_angle_alpha 90.00
_cell_angle_beta 90.48
_cell_angle_gamma 90.00
loop_
_space_group_symop_operation_xyz
'x,y,z'
'-x,-y,-z'
'-x,y,-z'
'x,-y,z'
loop_
_atom_site_label
_atom_site_type_symbol
_atom_site_fract_x
_atom_site_fract_y
_atom_site_fract_z
_atom_site_occupancy
Si1 Si 0.000 0.000 0.000 1
Sb1 Sb 0.500 0.500 0.500 1
P1 P 0.000 0.000 0.500 1
P2 P 0.500 0.500 0.000 1
```

Verdict on stability: a comes out at the bottom.

a | The following is a GGA-PBE calculation of crystalline SiSbP2 at its relaxed geometry, from Alexandria via LeMat-Bulk.

## Properties
The calculation puts the density at 4.9 g/cm3. The calculation puts the total magnetization at 0.00 μB/atom.

```
data_SiSbP2
_space_group_name_H-M_alt 'C m m m'
_space_group_IT_number 65
_space_group_name_Hall '-C 2 2'
_cell_length_a 6.517
_cell_length_b 6.554
_cell_length_c 3.336
_cell_angle_alpha 90.00
_cell_angle_beta 90.00
_cell_angle_gamma 90.00
loop_
_atom_site_label
_atom_site_type_symbol
_atom_site_fract_x
_atom_site_fract_y
_atom_site_fract_z
_atom_site_occupancy
Si1 Si 0.000 0.000 0.000 1
Sb1 Sb 0.000 0.500 0.000 1
P1 P 0.250 0.250 0.500 1
```

b | The following is a GGA-PBE calculation of crystalline SiSbP2 at its relaxed geometry, from Alexandria via LeMat-Bulk.

## Properties
The calculation puts the density at 4.7 g/cm3. The calculation puts the total magnetization at 0.00 μB/atom.

```
data_SiSbP2
_space_group_name_H-M_alt 'I m m 2'
_space_group_IT_number 44
_cell_length_a 3.237
_cell_length_b 5.131
_cell_length_c 8.921
_cell_angle_alpha 90.00
_cell_angle_beta 90.00
_cell_angle_gamma 90.00
loop_
_space_group_symop_operation_xyz
'x,y,z'
'-x,-y,z'
'-x,y,z'
'x,-y,z'
'x+1/2,y+1/2,z+1/2'
'-x+1/2,-y+1/2,z+1/2'
'-x+1/2,y+1/2,z+1/2'
'x+1/2,-y+1/2,z+1/2'
loop_
_atom_site_label
_atom_site_type_symbol
_atom_site_fract_x
_atom_site_fract_y
_atom_site_fract_z
_atom_site_occupancy
Si1 Si 0.000 0.000 0.000 1
Sb1 Sb 0.000 0.500 0.183 1
P1 P 0.000 0.000 0.409 1
P2 P 0.000 0.500 0.722 1
```

Verdict on stability: a comes out at the bottom.

a | The following is a GGA-PBE calculation of crystalline Si3SbP at its relaxed geometry, from Alexandria via LeMat-Bulk.

## Properties
The calculation puts the density at 3.9 g/cm3. The calculation puts the total magnetization at 0.00 μB/atom.

```
data_Si3SbP
_space_group_name_H-M_alt 'P m -3 m'
_space_group_IT_number 221
_space_group_name_Hall '-P 4 2 3'
_cell_length_a 4.636
_cell_length_b 4.636
_cell_length_c 4.636
_cell_angle_alpha 90.00
_cell_angle_beta 90.00
_cell_angle_gamma 90.00
loop_
_atom_site_label
_atom_site_type_symbol
_atom_site_fract_x
_atom_site_fract_y
_atom_site_fract_z
_atom_site_occupancy
Si1 Si 0.000 0.000 0.500 1
Sb1 Sb 0.500 0.500 0.500 1
P1 P 0.000 0.000 0.000 1
```

b | The following is a GGA-PBE calculation of crystalline Si3SbP at its relaxed geometry, from Alexandria via LeMat-Bulk.

## Properties
The calculation puts the density at 2.9 g/cm3. The calculation puts the total magnetization at 0.00 μB/atom.

```
data_Si3SbP
_space_group_name_H-M_alt 'P m -3 m'
_space_group_IT_number 221
_space_group_name_Hall '-P 4 2 3'
_cell_length_a 5.143
_cell_length_b 5.143
_cell_length_c 5.143
_cell_angle_alpha 90.00
_cell_angle_beta 90.00
_cell_angle_gamma 90.00
loop_
_atom_site_label
_atom_site_type_symbol
_atom_site_fract_x
_atom_site_fract_y
_atom_site_fract_z
_atom_site_occupancy
Si1 Si 0.000 0.000 0.500 1
Sb1 Sb 0.000 0.000 0.000 1
P1 P 0.500 0.500 0.500 1
```

Verdict on stability: b comes out at the bottom.

a | The following is a GGA-PBE calculation of crystalline Sm5Sb4P at its relaxed geometry, from Alexandria via LeMat-Bulk.

## Properties
The calculation puts the density at 7.0 g/cm3. The calculation puts the total magnetization at 0.00 μB/atom.

```
data_Sm5Sb4P
_space_group_name_H-M_alt 'I 4/m'
_space_group_IT_number 87
_space_group_name_Hall '-I 4'
_cell_length_a 9.833
_cell_length_b 9.833
_cell_length_c 6.241
_cell_angle_alpha 90.00
_cell_angle_beta 90.00
_cell_angle_gamma 90.00
loop_
_atom_site_label
_atom_site_type_symbol
_atom_site_fract_x
_atom_site_fract_y
_atom_site_fract_z
_atom_site_occupancy
Sm1 Sm 0.000 0.000 0.000 1
Sm2 Sm 0.097 0.284 0.500 1
Sb1 Sb 0.095 0.302 0.000 1
P1 P 0.000 0.000 0.500 1
```

b | The following is a GGA-PBE calculation of crystalline Sm5Sb4P at its relaxed geometry, from Alexandria via LeMat-Bulk.

## Properties
The calculation puts the density at 7.0 g/cm3. The calculation puts the total magnetization at 0.00 μB/atom.

```
data_Sm5Sb4P
_space_group_name_H-M_alt 'I 4/m m m'
_space_group_IT_number 139
_space_group_name_Hall '-I 4 2'
_cell_length_a 4.410
_cell_length_b 4.410
_cell_length_c 31.078
_cell_angle_alpha 90.00
_cell_angle_beta 90.00
_cell_angle_gamma 90.00
loop_
_atom_site_label
_atom_site_type_symbol
_atom_site_fract_x
_atom_site_fract_y
_atom_site_fract_z
_atom_site_occupancy
Sm1 Sm 0.000 0.000 0.000 1
Sm2 Sm 0.000 0.000 0.200 1
Sm3 Sm 0.000 0.000 0.407 1
Sb1 Sb 0.000 0.000 0.099 1
Sb2 Sb 0.000 0.000 0.303 1
P1 P 0.000 0.000 0.500 1
```

Verdict on stability: b comes out at the bottom.

a | The following is a GGA-PBE calculation of crystalline Sm2SbP at its relaxed geometry, from Alexandria via LeMat-Bulk.

## Properties
The calculation puts the density at 6.7 g/cm3. The calculation puts the total magnetization at 0.00 μB/atom.

```
data_Sm2SbP
_space_group_name_H-M_alt 'R 3 m'
_space_group_IT_number 160
_space_group_name_Hall 'R 3 -2"'
_cell_length_a 4.2208
_cell_length_b 4.2208
_cell_length_c 21.9593
_cell_angle_alpha 90.00
_cell_angle_beta 90.00
_cell_angle_gamma 120.00
loop_
_atom_site_label
_atom_site_type_symbol
_atom_site_fract_x
_atom_site_fract_y
_atom_site_fract_z
_atom_site_occupancy
Sm1 Sm 0.0000 0.0000 0.0000 1
Sm2 Sm 0.0000 0.0000 0.1858 1
Sb1 Sb 0.0000 0.0000 0.4256 1
P1 P 0.0000 0.0000 0.5945 1
```

b | The following is a GGA-PBE calculation of crystalline Sm2SbP at its relaxed geometry, from Alexandria via LeMat-Bulk.

## Properties
The calculation puts the density at 6.8 g/cm3. The calculation puts the total magnetization at 0.00 μB/atom.

```
data_Sm2SbP
_space_group_name_H-M_alt 'R -3 m'
_space_group_IT_number 166
_space_group_name_Hall '-R 3 2"'
_cell_length_a 4.2537
_cell_length_b 4.2537
_cell_length_c 21.3096
_cell_angle_alpha 90.00
_cell_angle_beta 90.00
_cell_angle_gamma 120.00
loop_
_atom_site_label
_atom_site_type_symbol
_atom_site_fract_x
_atom_site_fract_y
_atom_site_fract_z
_atom_site_occupancy
Sm1 Sm 0.0000 0.0000 0.2420 1
Sb1 Sb 0.0000 0.0000 0.0000 1
P1 P 0.0000 0.0000 0.5000 1
```

Verdict on stability: a comes out at the bottom.